Record 1
The following is a PBE calculation of a geometry-optimized Ho6TlRu2 structure, from Alexandria via LeMat-Bulk.

The space group is Immm (No. 71) and the conventional cell measures 9.329, 9.486 and 10.460 Å, with angles of 90.00, 90.00 and 90.00 degrees. The inequivalent atoms are Ho at (0.000, 0.207, 0.240), Ho at (0.188, 0.500, 0.169), Ho at (0.212, 0.317, 0.500), Tl at (0.000, 0.000, 0.000), Tl at (0.000, 0.000, 0.500), Ru at (0.000, 0.329, 0.000) and Ru at (0.000, 0.500, 0.371).

For the formation energy, the calculation gives -34.7 kJ/mol of atoms. The density of states at the Fermi level is 0.872 states/eV per atom.

---

Record 2
The following is a PBE calculation of a geometry-optimized TbY2PuS4 structure, from Alexandria via LeMat-Bulk.

The space group is P2/m (No. 10) and the conventional cell measures 6.810, 3.916 and 6.813 Å, with angles of 90.00, 109.24 and 90.00 degrees. The inequivalent atoms are Tb at (0.000, 0.000, 0.000), Y at (0.000, 0.500, 0.500), Y at (0.500, 0.000, 0.500), Pu at (0.500, 0.500, 0.000), S at (0.249, 0.000, 0.748) and S at (0.250, 0.500, 0.252).

The uncorrected formation energy is -1.967 eV per atom. The density of states at the Fermi level is 0.962 states/eV per atom.

---

Record 3
The following is a PBE calculation of a geometry-optimized ErCdCuAu structure, from Alexandria via LeMat-Bulk.

The space group is F-43m (No. 216) and the conventional cell measures 6.803, 6.803 and 6.803 Å, with angles of 90.00, 90.00 and 90.00 degrees. The inequivalent atoms are Er at (0.000, 0.000, 0.000), Cd at (0.000, 0.000, 0.500), Cu at (0.250, 0.250, 0.250) and Au at (0.250, 0.250, 0.750).

For the formation energy, the calculation gives -41.2 kJ/mol of atoms. The density of states at the Fermi level is 0.778 states/eV per atom.

---

Record 4
The following is a PBE calculation of a geometry-optimized LiInSnCl6 structure, from Alexandria via LeMat-Bulk.

The space group is P-31c (No. 163) and the conventional cell measures 6.6161, 6.6161 and 12.4067 Å, with angles of 90.00, 90.00 and 120.00 degrees. The inequivalent atoms are Li at (0.3333, 0.6667, 0.2500), In at (0.3333, 0.6667, 0.7500), Sn at (0.0000, 0.0000, 0.0000) and Cl at (0.0037, 0.3588, 0.6335).

The uncorrected formation energy is -1.211 eV per atom. The density of states at the Fermi level is 0.000 states/eV per atom.

---

Record 5
The following is a PBE calculation of a geometry-optimized CrP2Se structure, from Alexandria via LeMat-Bulk.

The space group is P4/mmm (No. 123) and the conventional cell measures 4.548, 4.548 and 3.095 Å, with angles of 90.00, 90.00 and 90.00 degrees. The inequivalent atoms are Cr at (0.000, 0.000, 0.000), P at (0.000, 0.500, 0.500) and Se at (0.500, 0.500, 0.000).

The uncorrected formation energy is 0.528 eV per atom. The density of states at the Fermi level is 0.743 states/eV per atom.

---

Record 6
The following is a PBE calculation of a geometry-optimized LiPr2Ga4Pt3 structure, from Alexandria via LeMat-Bulk.

The space group is P-4m2 (No. 115) and the conventional cell measures 4.302, 4.302 and 10.604 Å, with angles of 90.00, 90.00 and 90.00 degrees. The inequivalent atoms are Li at (0.000, 0.000, 0.000), Pr at (0.000, 0.500, 0.742), Ga at (0.000, 0.000, 0.500), Ga at (0.000, 0.500, 0.130), Ga at (0.500, 0.500, 0.500), Pt at (0.000, 0.500, 0.367) and Pt at (0.500, 0.500, 0.000).

For the formation energy, the calculation gives -83.9 kJ/mol of atoms. The density of states at the Fermi level is 0.776 states/eV per atom.

---

Record 7
The following is a PBE calculation of a geometry-optimized GdEr3 structure, from Alexandria via LeMat-Bulk.

The space group is Pmm2 (No. 25) and the conventional cell measures 3.587, 5.635 and 6.217 Å, with angles of 90.00, 90.00 and 90.00 degrees. The inequivalent atoms are Gd at (0.000, 0.000, 0.000), Er at (0.000, 0.500, 0.665), Er at (0.500, 0.000, 0.498) and Er at (0.500, 0.500, 0.167).

Its relative energy among the computed polymorphs is 1 kJ/mol of formula units. For the formation energy, the calculation gives 0.4 kJ/mol of atoms. The density of states at the Fermi level is 1.952 states/eV per atom.

---

Record 8
The following is a PBE calculation of a geometry-optimized YPu3Se4 structure, from Alexandria via LeMat-Bulk.

The space group is Cmmm (No. 65) and the conventional cell measures 8.269, 11.689 and 4.136 Å, with angles of 90.00, 90.00 and 90.00 degrees. The inequivalent atoms are Y at (0.000, 0.000, 0.000), Pu at (0.000, 0.500, 0.000), Pu at (0.250, 0.250, 0.500), Se at (0.000, 0.249, 0.000) and Se at (0.248, 0.000, 0.500).

The uncorrected formation energy is -1.606 eV per atom. Its relative energy among the computed polymorphs is 0 kJ/mol of formula units. The density of states at the Fermi level is 3.369 states/eV per atom.

---

> Number 6 is which compound?

LiPr2Ga4Pt3